HoTiFe11: relaxed, PBE-GGA.

Properties
Its calculated formation energy is -8.1 kJ/mol of atoms.

```
data_HoTiFe11
_chemical_formula_sum 'Ho2 Ti2 Fe22'
_cell_length_a 4.701
_cell_length_b 8.424
_cell_length_c 8.492
_cell_angle_alpha 90.00
_cell_angle_beta 90.00
_cell_angle_gamma 90.00
_symmetry_space_group_name_H-M 'I m m 2'
_symmetry_Int_Tables_number 44
loop_
_symmetry_equiv_pos_as_xyz
'x,y,z'
'-x,-y,z'
'-x,y,z'
'x,-y,z'
'x+1/2,y+1/2,z+1/2'
'-x+1/2,-y+1/2,z+1/2'
'-x+1/2,y+1/2,z+1/2'
'x+1/2,-y+1/2,z+1/2'
loop_
_atom_site_label
_atom_site_fract_x
_atom_site_fract_y
_atom_site_fract_z
Ho1 0.000 0.000 0.000
Ti1 0.000 0.000 0.375
Fe1 0.000 0.000 0.652
Fe2 0.000 0.283 0.506
Fe3 0.000 0.356 0.006
Fe4 0.000 0.500 0.274
Fe5 0.000 0.500 0.733
Fe6 0.249 0.249 0.755
```

---

RbBaN2: relaxed, PBE-GGA.

Properties
The formation energy (no corrections) comes out at 803 meV/atom. For the distance to the lowest polymorph of the same formula, the calculation gives 0.000 eV per atom.

```
data_RbBaN2
_chemical_formula_sum 'Rb4 Ba4 N8'
_cell_length_a 6.989
_cell_length_b 6.989
_cell_length_c 6.989
_cell_angle_alpha 90.00
_cell_angle_beta 90.00
_cell_angle_gamma 90.00
_symmetry_space_group_name_H-M 'F m -3 m'
_symmetry_Int_Tables_number 225
_symmetry_space_group_name_Hall '-F 4 2 3'
loop_
_atom_site_label
_atom_site_fract_x
_atom_site_fract_y
_atom_site_fract_z
Rb1 0.000 0.000 0.000
Ba1 0.000 0.000 0.500
N1 0.250 0.250 0.250
```

---

Nd2Si4Rh3: relaxed, PBE-GGA.

Properties
The formation energy (no corrections) comes out at -744 meV/atom.

```
data_Nd2Si4Rh3
_chemical_formula_sum 'Nd8 Si16 Rh12'
_cell_length_a 5.519
_cell_length_b 9.819
_cell_length_c 11.901
_cell_angle_alpha 90.00
_cell_angle_beta 90.00
_cell_angle_gamma 90.00
_symmetry_space_group_name_H-M 'F m m m'
_symmetry_Int_Tables_number 69
_symmetry_space_group_name_Hall '-F 2 2'
loop_
_atom_site_label
_atom_site_fract_x
_atom_site_fract_y
_atom_site_fract_z
Nd1 0.000 0.000 0.136
Si1 0.000 0.182 0.342
Rh1 0.000 0.000 0.500
Rh2 0.250 0.250 0.000
```

---

| no. | density of states at the Fermi level (states/eV/f.u.) | volume (Å³ per atom) |
| --- | --- | --- |
| 1 | 12.0 | 12.9 |
| 2 | 2.1 | 21.3 |
| 3 | 5.7 | 17.9 |